[1]
VASP calculation (PBE) on a relaxed structure of Y4TlSbC.

CIF file:
```
data_Y4TlSbC
_chemical_formula_sum 'Y8 Tl2 Sb2 C2'
_symmetry_space_group_name_H-M 'P 1'
_symmetry_Int_Tables_number 1
_cell_length_a 6.805
_cell_length_b 6.801
_cell_length_c 8.643
_cell_angle_alpha 90.00
_cell_angle_beta 113.18
_cell_angle_gamma 90.00
loop_
_symmetry_equiv_pos_as_xyz
'x,y,z'
loop_
_atom_site_label
_atom_site_type_symbol
_atom_site_fract_x
_atom_site_fract_y
_atom_site_fract_z
Y1 Y 0.000 0.500 0.500
Y2 Y 0.591 0.250 0.183
Y3 Y 0.911 0.250 0.823
Y4 Y 0.409 0.750 0.817
Y5 Y 0.089 0.750 0.177
Y6 Y 0.500 0.500 0.500
Y7 Y 0.500 0.000 0.500
Y8 Y 0.000 0.000 0.500
Tl1 Tl 0.110 0.250 0.220
Tl2 Tl 0.890 0.750 0.780
Sb1 Sb 0.609 0.750 0.218
Sb2 Sb 0.391 0.250 0.782
C1 C 0.749 0.250 0.498
C2 C 0.251 0.750 0.502
```

Computed properties:
Space group ... Cmcm (63)
Total magnetic moment ... 0.000 μB/atom
Density ... 6.27 g cm⁻³
Raw total energy ... -6.58 eV per atom


[2]
VASP calculation (PBE) on a relaxed structure of Tm4Sb3C.

CIF file:
```
data_Tm4Sb3C
_chemical_formula_sum 'Tm8 Sb6 C2'
_symmetry_space_group_name_H-M 'P 1'
_symmetry_Int_Tables_number 1
_cell_length_a 5.977
_cell_length_b 8.716
_cell_length_c 9.444
_cell_angle_alpha 90.00
_cell_angle_beta 90.00
_cell_angle_gamma 90.00
loop_
_symmetry_equiv_pos_as_xyz
'x,y,z'
loop_
_atom_site_label
_atom_site_type_symbol
_atom_site_fract_x
_atom_site_fract_y
_atom_site_fract_z
Tm1 Tm 0.068 0.310 0.793
Tm2 Tm 0.619 0.184 0.000
Tm3 Tm 0.568 0.690 0.707
Tm4 Tm 0.568 0.690 0.293
Tm5 Tm 0.119 0.816 0.500
Tm6 Tm 0.566 0.079 0.500
Tm7 Tm 0.068 0.310 0.207
Tm8 Tm 0.066 0.921 0.000
Sb1 Sb 0.565 0.342 0.280
Sb2 Sb 0.565 0.342 0.720
Sb3 Sb 0.561 0.846 0.000
Sb4 Sb 0.065 0.658 0.220
Sb5 Sb 0.061 0.154 0.500
Sb6 Sb 0.065 0.658 0.780
C1 C 0.502 0.819 0.500
C2 C 0.002 0.181 0.000
```

Computed properties:
Space group ... Pmn2_1 (31)
Total magnetic moment ... 0.000 μB/atom
Density ... 7.11 g cm⁻³
Raw total energy ... -5.49 eV per atom


[3]
VASP calculation (PBE) on a relaxed structure of Tm4Sb2C.

CIF file:
```
data_Tm4Sb2C
_chemical_formula_sum 'Tm4 Sb2 C1'
_symmetry_space_group_name_H-M 'P 1'
_symmetry_Int_Tables_number 1
_cell_length_a 3.699
_cell_length_b 8.188
_cell_length_c 8.121
_cell_angle_alpha 133.69
_cell_angle_beta 103.16
_cell_angle_gamma 90.00
loop_
_symmetry_equiv_pos_as_xyz
'x,y,z'
loop_
_atom_site_label
_atom_site_type_symbol
_atom_site_fract_x
_atom_site_fract_y
_atom_site_fract_z
Tm1 Tm 0.059 0.794 0.118
Tm2 Tm 0.639 0.232 0.278
Tm3 Tm 0.361 0.768 0.722
Tm4 Tm 0.941 0.206 0.882
C1 C 0.000 0.000 0.000
Sb1 Sb 0.661 0.643 0.323
Sb2 Sb 0.339 0.357 0.677
```

Computed properties:
Space group ... C2/m (12)
Total magnetic moment ... 0.141 μB/atom
E above lowest polymorph ... 0.077 eV per atom
Density ... 9.16 g cm⁻³


[4]
VASP calculation (PBE) on a relaxed structure of Tm7Sb2C2.

CIF file:
```
data_Tm7Sb2C2
_chemical_formula_sum 'Tm7 Sb2 C2'
_symmetry_space_group_name_H-M 'P 1'
_symmetry_Int_Tables_number 1
_cell_length_a 3.433
_cell_length_b 9.313
_cell_length_c 9.313
_cell_angle_alpha 62.12
_cell_angle_beta 79.38
_cell_angle_gamma 79.38
loop_
_symmetry_equiv_pos_as_xyz
'x,y,z'
loop_
_atom_site_label
_atom_site_type_symbol
_atom_site_fract_x
_atom_site_fract_y
_atom_site_fract_z
C1 C 0.241 0.409 0.109
C2 C 0.759 0.891 0.591
Tm1 Tm 0.840 0.385 0.934
Tm2 Tm 0.639 0.455 0.267
Tm3 Tm 0.190 0.706 0.914
Tm4 Tm 0.500 0.020 0.980
Tm5 Tm 0.810 0.086 0.294
Tm6 Tm 0.361 0.733 0.545
Tm7 Tm 0.160 0.066 0.615
Sb1 Sb 0.000 0.753 0.247
Sb2 Sb 0.500 0.351 0.649
```

Computed properties:
Space group ... Imm2 (44)
Total magnetic moment ... 0.000 μB/atom
Density ... 9.37 g cm⁻³
Raw total energy ... -5.63 eV per atom


[5]
VASP calculation (PBE) on a relaxed structure of Tm3SbC.

CIF file:
```
data_Tm3SbC
_chemical_formula_sum 'Tm6 Sb2 C2'
_symmetry_space_group_name_H-M 'P 1'
_symmetry_Int_Tables_number 1
_cell_length_a 4.088
_cell_length_b 8.176
_cell_length_c 8.161
_cell_angle_alpha 77.47
_cell_angle_beta 90.00
_cell_angle_gamma 104.48
loop_
_symmetry_equiv_pos_as_xyz
'x,y,z'
loop_
_atom_site_label
_atom_site_type_symbol
_atom_site_fract_x
_atom_site_fract_y
_atom_site_fract_z
Sb1 Sb 0.665 0.329 0.269
Sb2 Sb 0.335 0.671 0.731
C1 C 0.900 0.801 0.143
C2 C 0.100 0.199 0.857
Tm1 Tm 0.839 0.678 0.444
Tm2 Tm 0.676 0.353 0.867
Tm3 Tm 0.046 0.091 0.153
Tm4 Tm 0.161 0.322 0.556
Tm5 Tm 0.324 0.647 0.133
Tm6 Tm 0.954 0.909 0.847
```

Computed properties:
Space group ... C2/m (12)
Total magnetic moment ... 0.048 μB/atom
Density ... 8.26 g cm⁻³
Raw total energy ... -5.80 eV per atom


[6]
VASP calculation (PBE) on a relaxed structure of Tm6SbC3.

CIF file:
```
data_Tm6SbC3
_chemical_formula_sum 'Tm12 Sb2 C6'
_symmetry_space_group_name_H-M 'P 1'
_symmetry_Int_Tables_number 1
_cell_length_a 3.597
_cell_length_b 10.238
_cell_length_c 11.533
_cell_angle_alpha 101.85
_cell_angle_beta 90.00
_cell_angle_gamma 90.00
loop_
_symmetry_equiv_pos_as_xyz
'x,y,z'
loop_
_atom_site_label
_atom_site_type_symbol
_atom_site_fract_x
_atom_site_fract_y
_atom_site_fract_z
Sb1 Sb 0.750 0.047 0.680
Sb2 Sb 0.250 0.953 0.320
Tm1 Tm 0.750 0.210 0.477
Tm2 Tm 0.250 0.194 0.196
Tm3 Tm 0.250 0.080 0.916
Tm4 Tm 0.750 0.676 0.248
Tm5 Tm 0.750 0.806 0.804
Tm6 Tm 0.250 0.324 0.752
Tm7 Tm 0.250 0.475 0.374
Tm8 Tm 0.250 0.790 0.523
Tm9 Tm 0.750 0.920 0.084
Tm10 Tm 0.750 0.390 0.050
Tm11 Tm 0.250 0.610 0.950
Tm12 Tm 0.750 0.525 0.626
C1 C 0.750 0.148 0.057
C2 C 0.250 0.363 0.553
C3 C 0.250 0.528 0.153
C4 C 0.750 0.472 0.847
C5 C 0.750 0.637 0.447
C6 C 0.250 0.852 0.943
```

Computed properties:
Space group ... P2_1/m (11)
Total magnetic moment ... 0.001 μB/atom
Density ... 9.36 g cm⁻³
Raw total energy ... -6.30 eV per atom


[7]
VASP calculation (PBE) on a relaxed structure of Tm5Sb2C.

CIF file:
```
data_Tm5Sb2C
_chemical_formula_sum 'Tm10 Sb4 C2'
_symmetry_space_group_name_H-M 'P 1'
_symmetry_Int_Tables_number 1
_cell_length_a 5.104
_cell_length_b 8.083
_cell_length_c 12.675
_cell_angle_alpha 90.00
_cell_angle_beta 90.00
_cell_angle_gamma 108.40
loop_
_symmetry_equiv_pos_as_xyz
'x,y,z'
loop_
_atom_site_label
_atom_site_type_symbol
_atom_site_fract_x
_atom_site_fract_y
_atom_site_fract_z
C1 C 0.188 0.376 0.250
C2 C 0.812 0.624 0.750
Sb1 Sb 0.125 0.250 0.604
Sb2 Sb 0.875 0.750 0.396
Sb3 Sb 0.875 0.750 0.104
Sb4 Sb 0.125 0.250 0.896
Tm1 Tm 0.283 0.566 0.415
Tm2 Tm 0.924 0.847 0.876
Tm3 Tm 0.924 0.847 0.624
Tm4 Tm 0.705 0.410 0.250
Tm5 Tm 0.717 0.434 0.915
Tm6 Tm 0.283 0.566 0.085
Tm7 Tm 0.076 0.153 0.376
Tm8 Tm 0.295 0.590 0.750
Tm9 Tm 0.076 0.153 0.124
Tm10 Tm 0.717 0.434 0.585
```

Computed properties:
Space group ... Cmcm (63)
Total magnetic moment ... 0.100 μB/atom
Density ... 7.36 g cm⁻³
Raw total energy ... -5.24 eV per atom


[8]
VASP calculation (PBE) on a relaxed structure of Tm5SbC.

CIF file:
```
data_Tm5SbC
_chemical_formula_sum 'Tm10 Sb2 C2'
_symmetry_space_group_name_H-M 'P 1'
_symmetry_Int_Tables_number 1
_cell_length_a 6.997
_cell_length_b 6.997
_cell_length_c 9.186
_cell_angle_alpha 71.32
_cell_angle_beta 71.32
_cell_angle_gamma 69.65
loop_
_symmetry_equiv_pos_as_xyz
'x,y,z'
loop_
_atom_site_label
_atom_site_type_symbol
_atom_site_fract_x
_atom_site_fract_y
_atom_site_fract_z
Tm1 Tm 0.891 0.685 0.140
Tm2 Tm 0.810 0.361 0.528
Tm3 Tm 0.940 0.060 0.250
Tm4 Tm 0.315 0.109 0.360
Tm5 Tm 0.060 0.940 0.750
Tm6 Tm 0.639 0.190 0.972
Tm7 Tm 0.685 0.891 0.640
Tm8 Tm 0.361 0.810 0.028
Tm9 Tm 0.190 0.639 0.472
Tm10 Tm 0.109 0.315 0.860
C1 C 0.000 0.000 0.000
C2 C 0.000 0.000 0.500
Sb1 Sb 0.424 0.576 0.750
Sb2 Sb 0.576 0.424 0.250
```

Computed properties:
Space group ... C2/c (15)
Total magnetic moment ... 0.000 μB/atom
Density ... 8.37 g cm⁻³
Raw total energy ... -5.36 eV per atom


[9]
VASP calculation (PBE) on a relaxed structure of Tm6Sb2C.

CIF file:
```
data_Tm6Sb2C
_chemical_formula_sum 'Tm12 Sb4 C2'
_symmetry_space_group_name_H-M 'P 1'
_symmetry_Int_Tables_number 1
_cell_length_a 6.326
_cell_length_b 7.715
_cell_length_c 9.498
_cell_angle_alpha 90.00
_cell_angle_beta 92.10
_cell_angle_gamma 90.00
loop_
_symmetry_equiv_pos_as_xyz
'x,y,z'
loop_
_atom_site_label
_atom_site_type_symbol
_atom_site_fract_x
_atom_site_fract_y
_atom_site_fract_z
Tm1 Tm 0.608 0.476 0.249
Tm2 Tm 0.174 0.336 0.041
Tm3 Tm 0.892 0.976 0.251
Tm4 Tm 0.392 0.524 0.751
Tm5 Tm 0.862 0.710 0.544
Tm6 Tm 0.674 0.164 0.541
Tm7 Tm 0.362 0.790 0.044
Tm8 Tm 0.326 0.836 0.459
Tm9 Tm 0.108 0.024 0.749
Tm10 Tm 0.138 0.290 0.456
Tm11 Tm 0.826 0.664 0.959
Tm12 Tm 0.638 0.210 0.956
Sb1 Sb 0.924 0.392 0.744
Sb2 Sb 0.576 0.892 0.756
Sb3 Sb 0.076 0.608 0.256
Sb4 Sb 0.424 0.108 0.244
C1 C 0.500 0.500 0.000
C2 C 0.000 0.000 0.500
```

Computed properties:
Space group ... P2_1/c (14)
Total magnetic moment ... 0.000 μB/atom
Density ... 9.10 g cm⁻³
Raw total energy ... -5.51 eV per atom


[10]
VASP calculation (PBE) on a relaxed structure of Tm2SbC.

CIF file:
```
data_Tm2SbC
_chemical_formula_sum 'Tm8 Sb4 C4'
_symmetry_space_group_name_H-M 'P 1'
_symmetry_Int_Tables_number 1
_cell_length_a 4.882
_cell_length_b 6.598
_cell_length_c 10.194
_cell_angle_alpha 90.00
_cell_angle_beta 90.00
_cell_angle_gamma 90.00
loop_
_symmetry_equiv_pos_as_xyz
'x,y,z'
loop_
_atom_site_label
_atom_site_type_symbol
_atom_site_fract_x
_atom_site_fract_y
_atom_site_fract_z
C1 C 0.750 0.363 0.915
C2 C 0.250 0.137 0.415
C3 C 0.250 0.637 0.085
C4 C 0.750 0.863 0.585
Tm1 Tm 0.250 0.944 0.222
Tm2 Tm 0.250 0.337 0.949
Tm3 Tm 0.250 0.444 0.278
Tm4 Tm 0.750 0.663 0.051
Tm5 Tm 0.250 0.837 0.551
Tm6 Tm 0.750 0.556 0.722
Tm7 Tm 0.750 0.056 0.778
Tm8 Tm 0.750 0.163 0.449
Sb1 Sb 0.750 0.182 0.119
Sb2 Sb 0.250 0.818 0.881
Sb3 Sb 0.250 0.318 0.619
Sb4 Sb 0.750 0.682 0.381
```

Computed properties:
Space group ... Pnma (62)
Total magnetic moment ... 0.000 μB/atom
Density ... 9.54 g cm⁻³
Raw total energy ... -6.15 eV per atom


[11]
VASP calculation (PBE) on a relaxed structure of Tm3SbC.

CIF file:
```
data_Tm3SbC
_chemical_formula_sum 'Tm3 Sb1 C1'
_symmetry_space_group_name_H-M 'P 1'
_symmetry_Int_Tables_number 1
_cell_length_a 4.793
_cell_length_b 4.793
_cell_length_c 4.793
_cell_angle_alpha 90.00
_cell_angle_beta 90.00
_cell_angle_gamma 90.00
loop_
_symmetry_equiv_pos_as_xyz
'x,y,z'
loop_
_atom_site_label
_atom_site_type_symbol
_atom_site_fract_x
_atom_site_fract_y
_atom_site_fract_z
Tm1 Tm 0.500 0.000 0.000
Tm2 Tm 0.000 0.500 0.000
Tm3 Tm 0.000 0.000 0.500
C1 C 0.000 0.000 0.000
Sb1 Sb 0.500 0.500 0.500
```

Computed properties:
Space group ... Pm-3m (221)
Total magnetic moment ... 0.000 μB/atom
Density ... 9.66 g cm⁻³
Raw total energy ... -5.98 eV per atom


[12]
VASP calculation (PBE) on a relaxed structure of Tm6SbC4.

CIF file:
```
data_Tm6SbC4
_chemical_formula_sum 'Tm12 Sb2 C8'
_symmetry_space_group_name_H-M 'P 1'
_symmetry_Int_Tables_number 1
_cell_length_a 3.622
_cell_length_b 6.284
_cell_length_c 18.904
_cell_angle_alpha 90.00
_cell_angle_beta 90.00
_cell_angle_gamma 106.75
loop_
_symmetry_equiv_pos_as_xyz
'x,y,z'
loop_
_atom_site_label
_atom_site_type_symbol
_atom_site_fract_x
_atom_site_fract_y
_atom_site_fract_z
Tm1 Tm 0.645 0.291 0.750
Tm2 Tm 0.355 0.709 0.250
Tm3 Tm 0.775 0.550 0.077
Tm4 Tm 0.034 0.067 0.356
Tm5 Tm 0.966 0.933 0.856
Tm6 Tm 0.966 0.933 0.644
Tm7 Tm 0.775 0.550 0.423
Tm8 Tm 0.225 0.450 0.923
Tm9 Tm 0.225 0.450 0.577
Tm10 Tm 0.034 0.067 0.144
Tm11 Tm 0.500 0.000 0.000
Tm12 Tm 0.500 0.000 0.500
C1 C 0.864 0.727 0.540
C2 C 0.136 0.273 0.460
C3 C 0.593 0.186 0.874
C4 C 0.136 0.273 0.040
C5 C 0.407 0.814 0.374
C6 C 0.593 0.186 0.626
C7 C 0.407 0.814 0.126
C8 C 0.864 0.727 0.960
Sb1 Sb 0.657 0.314 0.250
Sb2 Sb 0.343 0.686 0.750
```

Computed properties:
Space group ... Cmcm (63)
Total magnetic moment ... 0.000 μB/atom
Density ... 9.54 g cm⁻³
Raw total energy ... -6.60 eV per atom